Below is crystalline NdHo2Er5Th at its relaxed geometry, with properties calculated at the GGA-PBE level.

The space group is I4/mcm (No. 140) and the conventional cell measures 8.754, 8.754 and 14.910 Å, with angles of 90.00, 90.00 and 90.00 degrees. The inequivalent atoms are Nd at (0.000, 0.500, 0.250), Ho at (0.115, 0.385, 0.000), Er at (0.000, 0.000, 0.000), Er at (0.207, 0.293, 0.365) and Th at (0.000, 0.000, 0.250).

For the electronic total energy, the calculation gives -4.589 eV/atom.


Below is crystalline ErZn4Pd at its relaxed geometry, with properties calculated at the GGA-PBE level.

The space group is F-43m (No. 216) and the conventional cell measures 7.335, 7.335 and 7.335 Å, with angles of 90.00, 90.00 and 90.00 degrees. The inequivalent atoms are Er at (0.000, 0.000, 0.000), Zn at (0.124, 0.124, 0.376) and Pd at (0.250, 0.250, 0.750).

For the electronic total energy, the calculation gives -2.862 eV/atom.


Below is crystalline NbTc4Au2 at its relaxed geometry, with properties calculated at the GGA-PBE level.

The space group is I4/mmm (No. 139) and the conventional cell measures 4.722, 4.722 and 13.294 Å, with angles of 90.00, 90.00 and 90.00 degrees. The inequivalent atoms are Nb at (0.000, 0.000, 0.000), Tc at (0.000, 0.000, 0.188), Tc at (0.000, 0.500, 0.000) and Au at (0.000, 0.000, 0.386).

For the electronic total energy, the calculation gives -6.744 eV/atom.


Below is crystalline TbCu9Pd2 at its relaxed geometry, with properties calculated at the GGA-PBE level.

The space group is R-3m (No. 166, hexagonal axes) and the conventional cell measures 4.9474, 4.9474 and 23.6981 Å, with angles of 90.00, 90.00 and 120.00 degrees. The inequivalent atoms are Tb at (0.0000, 0.0000, 0.0000), Cu at (0.0000, 0.0000, 0.3341), Cu at (0.0000, 0.0000, 0.5000), Cu at (0.0055, 0.5028, 0.9137) and Pd at (0.0000, 0.0000, 0.1450).

For the electronic total energy, the calculation gives -4.486 eV/atom.


Below is crystalline Y2ThGa at its relaxed geometry, with properties calculated at the GGA-PBE level.

The space group is R3m (No. 160, hexagonal axes) and the conventional cell measures 3.5965, 3.5965 and 30.9849 Å, with angles of 90.00, 90.00 and 120.00 degrees. The inequivalent atoms are Y at (0.0000, 0.0000, 0.0000), Y at (0.0000, 0.0000, 0.1921), Th at (0.0000, 0.0000, 0.7624) and Ga at (0.0000, 0.0000, 0.5964).

For the electronic total energy, the calculation gives -6.018 eV/atom.


Below is crystalline HgINF2 at its relaxed geometry, with properties calculated at the GGA-PBE level.

The space group is P4/mmm (No. 123) and the conventional cell measures 4.787, 4.787 and 4.025 Å, with angles of 90.00, 90.00 and 90.00 degrees. The inequivalent atoms are Hg at (0.000, 0.000, 0.000), I at (0.500, 0.500, 0.500), N at (0.500, 0.500, 0.000) and F at (0.000, 0.500, 0.500).

For the energy relative to the elements, uncorrected, the calculation gives 147 meV per atom. For the electronic total energy, the calculation gives -2.637 eV/atom.


Question: Which of these has the highest electronic total energy?
Answer: HgINF2


Repeat the fourth record exactly.
Below is crystalline TbCu9Pd2 at its relaxed geometry, with properties calculated at the GGA-PBE level.

The space group is R-3m (No. 166, hexagonal axes) and the conventional cell measures 4.9474, 4.9474 and 23.6981 Å, with angles of 90.00, 90.00 and 120.00 degrees. The inequivalent atoms are Tb at (0.0000, 0.0000, 0.0000), Cu at (0.0000, 0.0000, 0.3341), Cu at (0.0000, 0.0000, 0.5000), Cu at (0.0055, 0.5028, 0.9137) and Pd at (0.0000, 0.0000, 0.1450).

For the electronic total energy, the calculation gives -4.486 eV/atom.


Question: Look up the electronic total energy of the first one.
Answer: -4.589 eV/atom


Question: What is the formula in the fourth record?
Answer: TbCu9Pd2